Crystalline ErNiC2O8 at its relaxed geometry. Source: Alexandria, functional PBE with a Hubbard U.

Lattice parameters (Å, degrees): 5.066 5.066 5.993 90.00 90.00 120.00
Fractional coordinates of all 12 atoms:
Ni1 0.000 0.000 0.500
O1 0.817 0.183 0.257
O2 0.365 0.183 0.257
O3 0.667 0.333 0.559
O4 0.635 0.817 0.743
O5 0.817 0.635 0.257
O6 0.183 0.817 0.743
C1 0.667 0.333 0.329
Er1 0.000 0.000 0.000
O7 0.333 0.667 0.441
C2 0.333 0.667 0.671
O8 0.183 0.365 0.743

Results
E_tot = -79.36 eV per cell
size of the total moment = 0.42 μB/atom